## PrTm2Ga (PBE)

Data for crystalline PrTm2Ga at its relaxed geometry.

The energy relative to the lowest polymorph listed for this composition comes out at 0.101 eV per atom.

a b c (Å): 3.5893 3.5893 10.4872
angles (deg): 80.15 80.15 60.00
Fractional coordinates of all 4 atoms:
Pr  0.5004  0.5004  0.4987
Tm  0.0691  0.0691  0.7926
Tm  0.2642  0.2642  0.2075
Ga  0.6663  0.6663  0.0012

---

## Ti3V3N (PBE)

Data for crystalline Ti3V3N at its relaxed geometry.

The uncorrected formation energy comes out at -0.5000 eV/atom.

a b c (Å): 8.1152 8.1152 8.1152
angles (deg): 60.00 60.00 60.00
Fractional coordinates of all 28 atoms:
Ti  0.0662  0.4338  0.0662
Ti  0.1838  0.1838  0.8162
Ti  0.8162  0.8162  0.1838
Ti  0.8162  0.1838  0.8162
Ti  0.8162  0.1838  0.1838
Ti  0.1838  0.8162  0.8162
Ti  0.4338  0.0662  0.0662
Ti  0.0662  0.0662  0.4338
Ti  0.4338  0.4338  0.0662
Ti  0.0662  0.4338  0.4338
Ti  0.1838  0.8162  0.1838
Ti  0.4338  0.0662  0.4338
V  0.8327  0.8327  0.8327
V  0.4173  0.4173  0.7481
V  0.4173  0.7481  0.4173
V  0.7481  0.4173  0.4173
V  0.8327  0.5019  0.8327
V  0.5019  0.8327  0.8327
V  0.8327  0.8327  0.5019
V  0.4173  0.4173  0.4173
V  0.6250  0.6250  0.6250
V  0.6250  0.6250  0.1250
V  0.6250  0.1250  0.6250
V  0.1250  0.6250  0.6250
N  0.1250  0.1250  0.1250
N  0.1250  0.1250  0.6250
N  0.1250  0.6250  0.1250
N  0.6250  0.1250  0.1250

---

## AlCdSe2 (PBE)

Data for crystalline AlCdSe2 at its relaxed geometry.

The energy relative to the lowest polymorph listed for this composition comes out at 0.763 eV per atom. The uncorrected formation energy comes out at 0.2374 eV/atom.

a b c (Å): 4.9430 4.9430 4.9430
angles (deg): 60.00 60.00 60.00
Fractional coordinates of all 4 atoms:
Al  0.5000  0.5000  0.5000
Se  0.0000  0.0000  0.0000
Se  0.7500  0.7500  0.7500
Cd  0.2500  0.2500  0.2500

---

## Ac4Ag2Ru (PBE)

Data for crystalline Ac4Ag2Ru at its relaxed geometry.

The energy relative to the lowest polymorph listed for this composition comes out at 0.000 eV per atom.

a b c (Å): 4.4908 6.7614 8.3624
angles (deg): 101.50 105.58 90.00
Fractional coordinates of all 7 atoms:
Ac  0.1511  0.8270  0.3022
Ac  0.8489  0.1730  0.6978
Ac  0.4250  0.7296  0.8500
Ac  0.5750  0.2704  0.1500
Ag  0.2340  0.3602  0.4681
Ag  0.7660  0.6398  0.5319
Ru  0.0000  0.0000  0.0000

---

The M_tot results, record by record, are as follows: 0.0, 0.0, 0.0, 0.0 μB per cell.